Entry from Alexandria via LeMat-Bulk: Tb7MnI12 after structural relaxation (PBE).

## Properties
Formation energy from raw total energies   -1.14 eV/atom
Spin magnetization   0.104 μB per atom
VASP energy   -4.15 eV/atom
SG   R-3, No. 148
Density of states at the Fermi level   0.314 states/eV per atom

Lattice parameters (Å, degrees): 9.807 9.807 9.807 107.06 107.06 107.06
Element x y z (fractional)
I (0.775, 0.317, 0.926)
I (0.683, 0.074, 0.225)
I (0.317, 0.926, 0.775)
I (0.160, 0.462, 0.385)
I (0.615, 0.840, 0.538)
I (0.462, 0.385, 0.160)
I (0.538, 0.615, 0.840)
I (0.926, 0.775, 0.317)
I (0.225, 0.683, 0.074)
I (0.840, 0.538, 0.615)
I (0.074, 0.225, 0.683)
I (0.385, 0.160, 0.462)
Tb (0.093, 0.290, 0.022)
Tb (0.710, 0.978, 0.907)
Tb (0.022, 0.093, 0.290)
Tb (0.290, 0.022, 0.093)
Tb (0.907, 0.710, 0.978)
Tb (0.500, 0.500, 0.500)
Tb (0.978, 0.907, 0.710)
Mn (0.000, 0.000, 0.000)